1.
Computed, not measured: crystalline LaTh2Sc6 at its relaxed geometry at the PBE-GGA level of DFT.

Lattice parameters (Å, degrees): 5.0939 5.0939 20.6973 90.00 90.00 90.00
Closest atoms and distances in Å follow each position.
Atoms (fractional coordinates):
1 La 0.5000 0.5000 0.0000  2 Sc 2.41
2 La 0.0000 0.0000 0.5000  2 Sc 2.41
3 Th 0.5000 0.5000 0.2444  4 Sc 3.22-3.27
4 Th 0.5000 0.5000 0.7556  4 Sc 3.22-3.27
5 Th 0.0000 0.0000 0.2556  4 Sc 3.22-3.27
6 Th 0.0000 0.0000 0.7444  4 Sc 3.22-3.27
7 Sc 0.7674 0.7674 0.1198  1 La 3.14, 2 Th 3.22-3.27, 3 Sc 3.22-3.35
8 Sc 0.7674 0.7674 0.8802  1 La 3.14, 2 Th 3.22-3.27, 3 Sc 3.22-3.35
9 Sc 0.6650 0.6650 0.5000  1 Sc 2.38, 1 La 2.41
10 Sc 0.8350 0.1650 0.0000  1 Sc 2.38, 1 La 2.41
11 Sc 0.7326 0.2674 0.3802  1 La 3.14, 2 Th 3.22-3.27, 3 Sc 3.22-3.35
12 Sc 0.7326 0.2674 0.6198  1 La 3.14, 2 Th 3.22-3.27, 3 Sc 3.22-3.35
13 Sc 0.2674 0.7326 0.3802  1 La 3.14, 2 Th 3.22-3.27, 3 Sc 3.22-3.35
14 Sc 0.2674 0.7326 0.6198  1 La 3.14, 2 Th 3.22-3.27, 3 Sc 3.22-3.35
15 Sc 0.1650 0.8350 0.0000  1 Sc 2.38, 1 La 2.41
16 Sc 0.3350 0.3350 0.5000  1 Sc 2.38, 1 La 2.41
17 Sc 0.2326 0.2326 0.1198  1 La 3.14, 2 Th 3.22-3.27, 3 Sc 3.22-3.35
18 Sc 0.2326 0.2326 0.8802  1 La 3.14, 2 Th 3.22-3.27, 3 Sc 3.22-3.35

Properties
The symmetry is P4_2/mnm (136). As for the crystal system: tetragonal. As for the formation energy: 619 kJ/mol of formula units. The electronic total energy is -5.705 eV per atom. The theoretical density comes out at 5.40 g/cm³.

***

2.
Computed, not measured: crystalline La2ThSc at its relaxed geometry at the PBE-GGA level of DFT.

Lattice parameters (Å, degrees): 3.5818 3.5818 11.7414 81.23 81.23 60.00
Closest atoms and distances in Å follow each position.
Atoms (fractional coordinates):
1 La 0.0849 0.0849 0.7452  3 Sc 3.50, 3 Th 3.58, 6 La 3.58
2 La 0.2480 0.2480 0.2559  3 Sc 3.51, 6 La 3.58, 3 Th 3.63
3 Th 0.6674 0.6674 0.9979  6 La 3.58-3.63, 6 Th 3.58
4 Sc 0.4997 0.4997 0.5010  6 La 3.50-3.51, 6 Sc 3.58

Properties
The symmetry is R3m (160). The energy above the most stable polymorph in this dataset comes out at 2 meV per atom. As for the crystal system: trigonal. As for the formation energy: 30 kJ/mol of formula units. The electronic total energy is -5.825 eV per atom. The theoretical density comes out at 7.17 g/cm³.

***

3.
Computed, not measured: crystalline LaTh5Sc4 at its relaxed geometry at the PBE-GGA level of DFT.

Lattice parameters (Å, degrees): 3.4924 3.4924 24.1818 90.00 90.00 90.00
Closest atoms and distances in Å follow each position.
Atoms (fractional coordinates):
1 La 0.0000 0.0000 0.0000  4 La 3.49, 8 Th 3.64
2 Th 0.5000 0.5000 0.1107  4 Sc 3.41, 4 Th 3.49, 4 La 3.64
3 Th 0.5000 0.5000 0.3054  8 Sc 3.41, 4 Th 3.49
4 Th 0.5000 0.5000 0.5000  8 Sc 3.42, 4 Th 3.49
5 Th 0.5000 0.5000 0.6946  8 Sc 3.41, 4 Th 3.49
6 Th 0.5000 0.5000 0.8893  4 Sc 3.41, 4 Th 3.49, 4 La 3.64
7 Sc 0.0000 0.0000 0.2082  8 Th 3.41, 4 Sc 3.49
8 Sc 0.0000 0.0000 0.4024  8 Th 3.41-3.42, 4 Sc 3.49
9 Sc 0.0000 0.0000 0.5976  8 Th 3.41-3.42, 4 Sc 3.49
10 Sc 0.0000 0.0000 0.7918  8 Th 3.41, 4 Sc 3.49

Properties
The symmetry is P4/mmm (123). As for the crystal system: tetragonal. As for the formation energy: 42 kJ/mol of formula units. The electronic total energy is -6.692 eV per atom. The theoretical density comes out at 8.33 g/cm³.

***

4.
Computed, not measured: crystalline LaThSc at its relaxed geometry at the PBE-GGA level of DFT.

Lattice parameters (Å, degrees): 3.5349 3.5349 18.2493 107.25 107.25 60.00
Closest atoms and distances in Å follow each position.
Atoms (fractional coordinates):
1 La 0.3123 0.3123 0.1513  7 La 3.53-3.91, 3 Th 3.54-3.55
2 La 0.8232 0.8232 0.3515  7 La 3.53-3.91, 3 Th 3.54-3.55
3 Th 0.3317 0.3317 0.5205  3 Sc 3.36, 6 Th 3.53-3.54, 3 La 3.54-3.55
4 Th 0.8042 0.8042 0.9823  3 Sc 3.36, 6 Th 3.53-3.54, 3 La 3.54-3.55
5 Sc 0.8239 0.8239 0.6763  9 Sc 3.28-3.54, 3 Th 3.36
6 Sc 0.3121 0.3121 0.8264  9 Sc 3.28-3.54, 3 Th 3.36

Properties
The symmetry is C2/m (12). The energy above the most stable polymorph in this dataset comes out at 0 meV per atom. As for the crystal system: monoclinic. As for the formation energy: 16 kJ/mol of formula units. The electronic total energy is -6.170 eV per atom. The theoretical density comes out at 7.44 g/cm³.

***

5.
Computed, not measured: crystalline LaTh3Sc2 at its relaxed geometry at the PBE-GGA level of DFT.

Lattice parameters (Å, degrees): 3.5479 3.5479 14.3424 90.00 90.00 90.00
Closest atoms and distances in Å follow each position.
Atoms (fractional coordinates):
1 La 0.5000 0.5000 0.5000  4 La 3.55, 8 Th 3.62
2 Th 0.0000 0.0000 0.0000  8 Sc 3.38, 4 Th 3.55
3 Th 0.0000 0.0000 0.6815  4 Sc 3.41, 4 Th 3.55, 4 La 3.62
4 Th 0.0000 0.0000 0.3185  4 Sc 3.41, 4 Th 3.55, 4 La 3.62
5 Sc 0.5000 0.5000 0.8421  8 Th 3.38-3.41, 4 Sc 3.55
6 Sc 0.5000 0.5000 0.1579  8 Th 3.38-3.41, 4 Sc 3.55

Properties
The symmetry is P4/mmm (123). As for the crystal system: tetragonal. As for the formation energy: 30 kJ/mol of formula units. The electronic total energy is -6.589 eV per atom. The theoretical density comes out at 8.51 g/cm³.

***

6.
Computed, not measured: crystalline LaTh2Sc5 at its relaxed geometry at the PBE-GGA level of DFT.

Lattice parameters (Å, degrees): 5.1536 7.3038 7.3038 78.47 69.34 69.34
Closest atoms and distances in Å follow each position.
Atoms (fractional coordinates):
1 La 0.0000 0.0000 0.0000  4 Th 3.25
2 Th 0.6961 0.8039 0.8039  7 Sc 3.06-3.29, 2 La 3.25
3 Th 0.3039 0.1961 0.1961  7 Sc 3.06-3.29, 2 La 3.25
4 Sc 0.0000 0.5000 0.5000  2 Th 3.06, 8 Sc 3.43
5 Sc 0.6666 0.4972 0.1696  2 Sc 3.03-3.36, 3 Th 3.12-3.29
6 Sc 0.3334 0.5028 0.8304  2 Sc 3.03-3.36, 3 Th 3.12-3.29
7 Sc 0.3334 0.8304 0.5028  2 Sc 3.03-3.36, 3 Th 3.12-3.29
8 Sc 0.6666 0.1696 0.4972  2 Sc 3.03-3.36, 3 Th 3.12-3.29

Properties
The symmetry is Immm (71). As for the crystal system: orthorhombic. As for the formation energy: 273 kJ/mol of formula units. The electronic total energy is -6.075 eV per atom. The theoretical density comes out at 5.73 g/cm³.

***

7.
Computed, not measured: crystalline LaThSc at its relaxed geometry at the PBE-GGA level of DFT.

Lattice parameters (Å, degrees): 3.5380 3.5380 8.5456 90.00 90.00 120.00
Closest atoms and distances in Å follow each position.
Atoms (fractional coordinates):
1 Sc 0.6667 0.3333 0.3445  3 Th 3.35, 6 Sc 3.54, 3 La 3.58
2 Th 0.3333 0.6667 0.6554  3 Sc 3.35, 6 Th 3.54, 3 La 3.58
3 La 0.0000 0.0000 0.0000  6 La 3.54, 3 Sc 3.58, 3 Th 3.58

Properties
The symmetry is P3m1 (156). The energy above the most stable polymorph in this dataset comes out at 9 meV per atom. As for the crystal system: trigonal. As for the formation energy: 19 kJ/mol of formula units. The electronic total energy is -6.162 eV per atom. The theoretical density comes out at 7.46 g/cm³.

***

8.
Computed, not measured: crystalline LaTh6Sc at its relaxed geometry at the PBE-GGA level of DFT.

Lattice parameters (Å, degrees): 4.9995 10.0511 7.1089 134.99 90.00 90.00
Closest atoms and distances in Å follow each position.
Atoms (fractional coordinates):
1 La 0.0000 0.8722 0.7444  10 Th 3.52-3.59, 2 Sc 3.57
2 Th 0.0000 0.8734 0.2510  2 La 3.52-3.59, 8 Th 3.52-3.59, 2 Sc 3.53
3 Th 0.0000 0.3775 0.2510  2 La 3.52-3.59, 8 Th 3.52-3.59, 2 Sc 3.53
4 Th 0.0000 0.3779 0.7558  2 Sc 3.48, 10 Th 3.52-3.59
5 Th 0.5000 0.6228 0.7516  2 Sc 3.48-3.63, 8 Th 3.51-3.60, 2 La 3.57
6 Th 0.5000 0.1288 0.7516  2 Sc 3.48-3.63, 8 Th 3.51-3.60, 2 La 3.57
7 Th 0.5000 0.1289 0.2578  10 Th 3.51-3.60, 2 La 3.59
8 Sc 0.5000 0.6185 0.2370  10 Th 3.48-3.63, 2 La 3.57

Properties
The symmetry is Amm2 (38). As for the crystal system: orthorhombic. As for the formation energy: 37 kJ/mol of formula units. The electronic total energy is -6.924 eV per atom. The theoretical density comes out at 10.36 g/cm³.

***

9.
Computed, not measured: crystalline La4Th3Sc at its relaxed geometry at the PBE-GGA level of DFT.

Lattice parameters (Å, degrees): 5.0468 10.3739 10.1489 90.00 90.00 90.00
Closest atoms and distances in Å follow each position.
Atoms (fractional coordinates):
1 Sc 0.0644 0.3914 0.0000  8 Th 3.43-3.58, 4 La 3.59-3.63
2 Sc 0.5644 0.6086 0.5000  8 Th 3.43-3.58, 4 La 3.59-3.63
3 Th 0.5644 0.6151 0.0000  2 Sc 3.43, 6 Th 3.48-3.58, 4 La 3.57-3.61
4 Th 0.0644 0.6138 0.2498  3 Sc 3.43-3.58, 5 Th 3.46-3.58, 4 La 3.58-3.60
5 Th 0.5644 0.3862 0.2502  3 Sc 3.43-3.58, 5 Th 3.46-3.58, 4 La 3.58-3.60
6 Th 0.0644 0.3849 0.5000  2 Sc 3.43, 6 Th 3.48-3.58, 4 La 3.57-3.61
7 Th 0.5644 0.3862 0.7498  3 Sc 3.43-3.58, 5 Th 3.46-3.58, 4 La 3.58-3.60
8 Th 0.0644 0.6138 0.7502  3 Sc 3.43-3.58, 5 Th 3.46-3.58, 4 La 3.58-3.60
9 La 0.0644 0.8582 0.0000  4 Th 3.57-3.59, 8 La 3.61-3.86
10 La 0.5644 0.1401 0.0000  8 La 3.54-3.91, 2 Th 3.60, 2 Sc 3.63
11 La 0.0644 0.1420 0.2452  8 La 3.54-3.91, 3 Th 3.58-3.61, 1 Sc 3.59
12 La 0.5644 0.8580 0.2548  8 La 3.54-3.91, 3 Th 3.58-3.61, 1 Sc 3.59
13 La 0.0644 0.8599 0.5000  8 La 3.54-3.91, 2 Th 3.60, 2 Sc 3.63
14 La 0.5644 0.1418 0.5000  4 Th 3.57-3.59, 8 La 3.61-3.86
15 La 0.5644 0.8580 0.7452  8 La 3.54-3.91, 3 Th 3.58-3.61, 1 Sc 3.59
16 La 0.0644 0.1420 0.7548  8 La 3.54-3.91, 3 Th 3.58-3.61, 1 Sc 3.59

Properties
The symmetry is Pmmn (59). As for the crystal system: orthorhombic. As for the formation energy: 24 kJ/mol of formula units. The electronic total energy is -6.006 eV per atom. The theoretical density comes out at 8.10 g/cm³.

***

10.
Computed, not measured: crystalline La2ThSc at its relaxed geometry at the PBE-GGA level of DFT.

Lattice parameters (Å, degrees): 5.1282 5.0079 5.0079 90.00 90.00 90.00
Closest atoms and distances in Å follow each position.
Atoms (fractional coordinates):
1 Sc 0.5000 0.0000 0.0000  4 Th 3.54, 8 La 3.58
2 Th 0.5000 0.5000 0.5000  4 Sc 3.54, 8 La 3.58
3 La 0.0000 0.0000 0.5000  4 La 3.54, 4 Th 3.58, 4 Sc 3.58
4 La 0.0000 0.5000 0.0000  4 La 3.54, 4 Th 3.58, 4 Sc 3.58

Properties
The symmetry is P4/mmm (123). The energy above the most stable polymorph in this dataset comes out at 0 meV per atom. As for the crystal system: tetragonal. As for the formation energy: 29 kJ/mol of formula units. The electronic total energy is -5.827 eV per atom. The theoretical density comes out at 7.16 g/cm³.

***

11.
Computed, not measured: crystalline La2Th3Sc4 at its relaxed geometry at the PBE-GGA level of DFT.

Lattice parameters (Å, degrees): 3.4591 3.4591 25.8133 90.00 90.00 120.00
Closest atoms and distances in Å follow each position.
Atoms (fractional coordinates):
1 La 0.6667 0.3333 0.1003  1 Sc 3.25, 6 La 3.46
2 La 0.6667 0.3333 0.8631  6 La 3.46, 3 Sc 3.51, 3 Th 3.67
3 Th 0.0000 0.0000 0.9823  6 Th 3.46, 6 La 3.64-3.67
4 Th 0.0000 0.0000 0.3312  6 Sc 3.37-3.45, 6 Th 3.46
5 Th 0.6667 0.3333 0.6450  6 Sc 3.40-3.43, 6 Th 3.46
6 Sc 0.0000 0.0000 0.5372  9 Sc 3.20-3.46, 3 Th 3.43
7 Sc 0.6667 0.3333 0.4403  9 Sc 3.20-3.46, 3 Th 3.45
8 Sc 0.6667 0.3333 0.2262  1 La 3.25, 3 Th 3.37, 6 Sc 3.46
9 Sc 0.0000 0.0000 0.7515  3 Th 3.40, 6 Sc 3.46, 3 La 3.51

Properties
The symmetry is P3m1 (156). As for the crystal system: trigonal. As for the formation energy: 95 kJ/mol of formula units. The electronic total energy is -6.273 eV per atom. The theoretical density comes out at 7.16 g/cm³.

***

12.
Computed, not measured: crystalline LaTh3Sc4 at its relaxed geometry at the PBE-GGA level of DFT.

Lattice parameters (Å, degrees): 3.7472 5.5390 11.0855 90.00 90.00 90.00
Closest atoms and distances in Å follow each position.
Atoms (fractional coordinates):
1 Sc 0.0000 0.0000 0.5000  8 Th 3.34
2 Sc 0.0000 0.5000 0.7440  6 Th 3.29-3.34, 2 La 3.40
3 Sc 0.0000 0.0000 0.0000  4 La 3.34, 4 Th 3.35
4 Sc 0.0000 0.5000 0.2560  6 Th 3.29-3.34, 2 La 3.40
5 Th 0.5000 0.0000 0.2507  8 Sc 3.34-3.35
6 Th 0.5000 0.5000 0.5000  8 Sc 3.29-3.34
7 Th 0.5000 0.0000 0.7493  8 Sc 3.34-3.35
8 La 0.5000 0.5000 0.0000  8 Sc 3.34-3.40

Properties
The symmetry is Pmmm (47). As for the crystal system: orthorhombic. As for the formation energy: 39 kJ/mol of formula units. The electronic total energy is -6.513 eV per atom. The theoretical density comes out at 7.32 g/cm³.